--- one ---
The following is a DFT calculation (PBE) of crystalline La2Er8Tm at its relaxed geometry.

Space group = No. 12
DOS(E_F) = 17.5 states/eV/f.u.
Theoretical density = 8.1 Mg/m³
Calculated volume = 365.4 Å³ per cell

a = 5.5945 Å, b = 9.9619 Å, c = 9.9619 Å
α = 41.20°, β = 92.09°, γ = 92.09°
Fractional coordinates of all 11 atoms:
Er (0.2373, 0.5440, 0.5440)
Er (0.2335, 0.1818, 0.1818)
Er (0.2644, 0.1399, 0.6054)
Er (0.7356, 0.3946, 0.8601)
Er (0.7356, 0.8601, 0.3946)
Er (0.7627, 0.4560, 0.4560)
Er (0.2644, 0.6054, 0.1399)
Er (0.7665, 0.8182, 0.8182)
La (0.7457, 0.2844, 0.2844)
La (0.2543, 0.7156, 0.7156)
Tm (0.0000, 0.0000, 0.0000)



--- two ---
The following is a DFT calculation (PBE) of crystalline La2Er8Tm at its relaxed geometry.

Space group = No. 12
DOS(E_F) = 15.7 states/eV/f.u.
Theoretical density = 8.3 Mg/m³
Calculated volume = 355.9 Å³ per cell

a = 6.5817 Å, b = 6.6684 Å, c = 8.8832 Å
α = 99.92°, β = 111.74°, γ = 90.00°
Fractional coordinates of all 11 atoms:
Er (0.6575, 0.6040, 0.8324)
Er (0.3425, 0.3960, 0.1676)
Er (0.8252, 0.3960, 0.1676)
Er (0.5893, 0.9117, 0.1785)
Er (0.8044, 0.1899, 0.6088)
Er (0.1748, 0.6040, 0.8324)
Er (0.1956, 0.8101, 0.3912)
Er (0.4107, 0.0883, 0.8215)
Tm (0.0000, 0.0000, 0.0000)
La (0.7518, 0.6800, 0.5035)
La (0.2482, 0.3200, 0.4965)



Relative energies with respect to the most stable structure, expressed in meV/atom: one 5; two 0.



--- one ---
The following is a DFT calculation (PBE) of crystalline LaErTm4 at its relaxed geometry.

Space group = No. 216
DOS(E_F) = 11.6 states/eV/f.u.
Theoretical density = 8.2 Mg/m³
Calculated volume = 199.9 Å³ per cell

a = 6.5629 Å, b = 6.5629 Å, c = 6.5629 Å
α = 60.00°, β = 60.00°, γ = 60.00°
Fractional coordinates of all 6 atoms:
Tm (0.6257, 0.1228, 0.6257)
Tm (0.1228, 0.6257, 0.6257)
Tm (0.6257, 0.6257, 0.1228)
Tm (0.6257, 0.6257, 0.6257)
La (0.2500, 0.2500, 0.2500)
Er (0.0000, 0.0000, 0.0000)



--- two ---
The following is a DFT calculation (PBE) of crystalline LaErTm4 at its relaxed geometry.

Space group = No. 15
DOS(E_F) = 10.4 states/eV/f.u.
Theoretical density = 8.4 Mg/m³
Calculated volume = 387.8 Å³ per cell

a = 6.3694 Å, b = 9.0312 Å, c = 8.5371 Å
α = 112.58°, β = 99.64°, γ = 112.88°
Fractional coordinates of all 12 atoms:
Tm (0.3667, 0.8993, 0.6106)
Tm (0.6333, 0.1007, 0.3894)
Tm (0.0382, 0.1561, 0.7304)
Tm (0.9618, 0.8439, 0.2696)
Tm (0.1922, 0.5742, 0.7304)
Tm (0.8078, 0.4258, 0.2696)
Tm (0.2562, 0.2888, 0.3894)
Tm (0.7438, 0.7112, 0.6106)
Er (0.2482, 0.9982, 0.9964)
Er (0.7518, 0.0018, 0.0036)
La (0.3324, 0.5824, 0.1648)
La (0.6676, 0.4176, 0.8352)



Relative energies with respect to the most stable structure, expressed in meV/atom: one 133; two 0.



--- one ---
The following is a DFT calculation (PBE) of crystalline La2ErTm3 at its relaxed geometry.

Space group = No. 36
DOS(E_F) = 10.9 states/eV/f.u.
Theoretical density = 7.9 Mg/m³
Calculated volume = 401.9 Å³ per cell

a = 5.8254 Å, b = 8.4471 Å, c = 8.4471 Å
α = 75.21°, β = 90.00°, γ = 90.00°
Fractional coordinates of all 12 atoms:
La (0.9937, 0.4603, 0.1342)
La (0.4937, 0.8658, 0.5397)
La (0.4937, 0.5397, 0.8658)
La (0.9937, 0.1342, 0.4603)
Tm (0.4940, 0.5991, 0.2681)
Tm (0.4940, 0.2681, 0.5991)
Tm (0.9940, 0.4009, 0.7319)
Tm (0.4905, 0.9399, 0.9399)
Tm (0.9940, 0.7319, 0.4009)
Tm (0.9905, 0.0601, 0.0601)
Er (0.4920, 0.1998, 0.1998)
Er (0.9920, 0.8002, 0.8002)



--- two ---
The following is a DFT calculation (PBE) of crystalline La2ErTm3 at its relaxed geometry.

Space group = No. 2
DOS(E_F) = 8.3 states/eV/f.u.
Theoretical density = 8.1 Mg/m³
Calculated volume = 388.6 Å³ per cell

a = 6.1944 Å, b = 6.1864 Å, c = 12.9130 Å
α = 108.87°, β = 123.87°, γ = 80.71°
Fractional coordinates of all 12 atoms:
La (0.2505, 0.8750, 0.6252)
La (0.7501, 0.6249, 0.8751)
La (0.7495, 0.1250, 0.3748)
La (0.2499, 0.3751, 0.1249)
Tm (0.4195, 0.2898, 0.5402)
Tm (0.9195, 0.0404, 0.7904)
Tm (0.5805, 0.7102, 0.4598)
Tm (0.4198, 0.7904, 0.0403)
Tm (0.0805, 0.9596, 0.2096)
Tm (0.5802, 0.2096, 0.9597)
Er (0.9197, 0.5401, 0.2904)
Er (0.0803, 0.4599, 0.7096)



Relative energies with respect to the most stable structure, expressed in meV/atom: one 221; two 0.



--- one ---
The following is a DFT calculation (PBE) of crystalline LaEr3Tm3 at its relaxed geometry.

Space group = No. 217
DOS(E_F) = 12.4 states/eV/f.u.
Theoretical density = 8.3 Mg/m³
Calculated volume = 920.2 Å³ per cell

a = 10.6131 Å, b = 10.6131 Å, c = 10.6131 Å
α = 109.47°, β = 109.47°, γ = 109.47°
Fractional coordinates of all 28 atoms:
Er (0.0000, 0.5686, 0.3017)
Er (0.5686, 0.3017, 0.0000)
Er (0.4314, 0.4314, 0.7332)
Er (0.7332, 0.4314, 0.4314)
Er (0.6983, 0.2668, 0.6983)
Er (0.3017, 0.5686, 0.0000)
Er (0.6983, 0.6983, 0.2668)
Er (0.5686, 0.0000, 0.3017)
Er (0.3017, 0.0000, 0.5686)
Er (0.0000, 0.3017, 0.5686)
Er (0.2668, 0.6983, 0.6983)
Er (0.4314, 0.7332, 0.4314)
Tm (0.6106, 0.8058, 0.0000)
Tm (0.6106, 0.0000, 0.8058)
Tm (0.0000, 0.6106, 0.8058)
Tm (0.1942, 0.8048, 0.1942)
Tm (0.8058, 0.6106, 0.0000)
Tm (0.1952, 0.3894, 0.3894)
Tm (0.3894, 0.3894, 0.1952)
Tm (0.1942, 0.1942, 0.8048)
Tm (0.3894, 0.1952, 0.3894)
Tm (0.8058, 0.0000, 0.6106)
Tm (0.0000, 0.8058, 0.6106)
Tm (0.8048, 0.1942, 0.1942)
La (0.0000, 0.2586, 0.0000)
La (0.0000, 0.0000, 0.2586)
La (0.7414, 0.7414, 0.7414)
La (0.2586, 0.0000, 0.0000)



--- two ---
The following is a DFT calculation (PBE) of crystalline LaEr3Tm3 at its relaxed geometry.

Space group = No. 176
DOS(E_F) = 13.4 states/eV/f.u.
Theoretical density = 8.6 Mg/m³
Calculated volume = 441.3 Å³ per cell

a = 5.6279 Å, b = 9.5158 Å, c = 9.5158 Å
α = 120.00°, β = 90.00°, γ = 90.00°
Fractional coordinates of all 14 atoms:
Tm (0.7500, 0.4760, 0.0960)
Tm (0.7500, 0.6200, 0.5240)
Tm (0.7500, 0.9040, 0.3800)
Tm (0.2500, 0.3800, 0.4760)
Tm (0.2500, 0.5240, 0.9040)
Tm (0.2500, 0.0960, 0.6200)
Er (0.7500, 0.7650, 0.9530)
Er (0.2500, 0.8120, 0.7650)
Er (0.7500, 0.0470, 0.8120)
Er (0.2500, 0.2350, 0.0470)
Er (0.7500, 0.1880, 0.2350)
Er (0.2500, 0.9530, 0.1880)
La (0.7500, 0.3333, 0.6667)
La (0.2500, 0.6667, 0.3333)



Relative energies with respect to the most stable structure, expressed in meV/atom: one 220; two 0.



--- one ---
The following is a DFT calculation (PBE) of crystalline LaEr6Tm8 at its relaxed geometry.

Space group = No. 147
DOS(E_F) = 21.0 states/eV/f.u.
Theoretical density = 8.5 Mg/m³
Calculated volume = 484.9 Å³ per cell

a = 6.3768 Å, b = 9.3708 Å, c = 9.3708 Å
α = 120.00°, β = 90.00°, γ = 90.00°
Fractional coordinates of all 15 atoms:
Er (0.5864, 0.4224, 0.3181)
Er (0.4136, 0.3181, 0.8957)
Er (0.4136, 0.5776, 0.6819)
Er (0.5864, 0.8957, 0.5776)
Er (0.5864, 0.6819, 0.1043)
Er (0.4136, 0.1043, 0.4224)
Tm (0.9119, 0.9747, 0.3154)
Tm (0.0881, 0.6594, 0.9747)
Tm (0.9119, 0.3406, 0.0253)
Tm (0.8387, 0.3333, 0.6667)
Tm (0.0881, 0.0253, 0.6846)
Tm (0.9119, 0.6846, 0.6594)
Tm (0.1613, 0.6667, 0.3333)
Tm (0.0881, 0.3154, 0.3406)
La (0.5000, 0.0000, 0.0000)



--- two ---
The following is a DFT calculation (PBE) of crystalline LaEr6Tm8 at its relaxed geometry.

Space group = No. 148
DOS(E_F) = 23.0 states/eV/f.u.
Theoretical density = 8.8 Mg/m³
Calculated volume = 469.0 Å³ per cell

a = 8.9219 Å, b = 8.9219 Å, c = 8.5338 Å
α = 58.48°, β = 58.48°, γ = 60.00°
Fractional coordinates of all 15 atoms:
Tm (0.1105, 0.7431, 0.4272)
Tm (0.7193, 0.1105, 0.4272)
Tm (0.2807, 0.8895, 0.5728)
Tm (0.8895, 0.2569, 0.5728)
Tm (0.5765, 0.5765, 0.2704)
Tm (0.7431, 0.7193, 0.4272)
Tm (0.2569, 0.2807, 0.5728)
Tm (0.4235, 0.4235, 0.7296)
Er (0.2294, 0.5363, 0.1248)
Er (0.5363, 0.1095, 0.1248)
Er (0.8905, 0.7706, 0.8752)
Er (0.1095, 0.2294, 0.1248)
Er (0.4637, 0.8905, 0.8752)
Er (0.7706, 0.4637, 0.8752)
La (0.0000, 0.0000, 0.0000)



Relative energies with respect to the most stable structure, expressed in meV/atom: one 83; two 0.



--- one ---
The following is a DFT calculation (PBE) of crystalline LaEr7Tm4 at its relaxed geometry.

Space group = No. 12
DOS(E_F) = 21.3 states/eV/f.u.
Theoretical density = 8.5 Mg/m³
Calculated volume = 385.6 Å³ per cell

a = 5.8238 Å, b = 11.4061 Å, c = 6.6736 Å
α = 82.77°, β = 64.13°, γ = 75.21°
Fractional coordinates of all 12 atoms:
Er (0.2106, 0.0785, 0.5003)
Er (0.3633, 0.5083, 0.7651)
Er (0.0545, 0.6602, 0.2309)
Er (0.7894, 0.9215, 0.4997)
Er (0.5000, 0.0000, 0.0000)
Er (0.6367, 0.4917, 0.2349)
Er (0.9455, 0.3398, 0.7691)
Tm (0.6264, 0.2259, 0.5213)
Tm (0.7415, 0.6877, 0.8293)
Tm (0.3736, 0.7741, 0.4787)
Tm (0.2585, 0.3123, 0.1707)
La (0.0000, 0.0000, 0.0000)



--- two ---
The following is a DFT calculation (PBE) of crystalline LaEr7Tm4 at its relaxed geometry.

Space group = No. 2
DOS(E_F) = 17.1 states/eV/f.u.
Theoretical density = 8.9 Mg/m³
Calculated volume = 370.8 Å³ per cell

a = 7.1034 Å, b = 6.1413 Å, c = 11.2709 Å
α = 79.49°, β = 50.88°, γ = 89.99°
Fractional coordinates of all 12 atoms:
Er (0.7472, 0.5000, 0.0001)
Er (0.9157, 0.7213, 0.3366)
Er (0.6636, 0.2236, 0.3366)
Er (0.3364, 0.7764, 0.6634)
Er (0.5000, 0.0000, 0.0000)
Er (0.0843, 0.2787, 0.6634)
Er (0.2528, 0.5000, 0.9999)
Tm (0.8353, 0.7788, 0.6645)
Tm (0.5886, 0.2782, 0.6636)
Tm (0.1647, 0.2212, 0.3355)
Tm (0.4114, 0.7218, 0.3364)
La (0.0000, 0.0000, 0.0000)



Relative energies with respect to the most stable structure, expressed in meV/atom: one 283; two 0.



--- one ---
The following is a DFT calculation (PBE) of crystalline LaEr4Tm4 at its relaxed geometry.

Space group = No. 2
DOS(E_F) = 15.6 states/eV/f.u.
Theoretical density = 8.8 Mg/m³
Calculated volume = 562.9 Å³ per cell

a = 8.5909 Å, b = 9.5229 Å, c = 10.9457 Å
α = 72.74°, β = 92.96°, γ = 137.09°
Fractional coordinates of all 18 atoms:
Tm (0.1908, 0.8474, 0.5396)
Tm (0.2920, 0.9544, 0.9616)
Tm (0.8092, 0.1526, 0.4604)
Tm (0.1538, 0.4908, 0.1296)
Tm (0.7080, 0.0456, 0.0384)
Tm (0.4694, 0.8107, 0.7972)
Tm (0.8462, 0.5092, 0.8704)
Tm (0.5306, 0.1893, 0.2028)
Er (0.7296, 0.7050, 0.0475)
Er (0.9632, 0.6317, 0.2913)
Er (0.0368, 0.3683, 0.7087)
Er (0.6007, 0.6272, 0.6211)
Er (0.3993, 0.3728, 0.3789)
Er (0.2704, 0.2950, 0.9525)
Er (0.6323, 0.2951, 0.6245)
Er (0.3677, 0.7049, 0.3755)
La (0.0790, 0.0417, 0.7171)
La (0.9210, 0.9583, 0.2829)



--- two ---
The following is a DFT calculation (PBE) of crystalline LaEr4Tm4 at its relaxed geometry.

Space group = No. 139
DOS(E_F) = 13.3 states/eV/f.u.
Theoretical density = 8.8 Mg/m³
Calculated volume = 279.5 Å³ per cell

a = 4.9853 Å, b = 7.8920 Å, c = 7.8920 Å
α = 84.27°, β = 71.59°, γ = 71.59°
Fractional coordinates of all 9 atoms:
Tm (0.0000, 0.3359, 0.6642)
Tm (0.0000, 0.6641, 0.3358)
Tm (0.3358, 0.6642, 0.6641)
Tm (0.6642, 0.3358, 0.3359)
La (0.0000, 0.0000, 0.0000)
Er (0.3311, 0.3378, 0.0000)
Er (0.6689, 0.6622, 0.0000)
Er (0.3311, 0.0000, 0.3378)
Er (0.6689, 0.0000, 0.6622)



Relative energies with respect to the most stable structure, expressed in meV/atom: one 7; two 0.



--- one ---
The following is a DFT calculation (PBE) of crystalline LaEr3Tm7 at its relaxed geometry.

Space group = No. 156
DOS(E_F) = 17.7 states/eV/f.u.
Theoretical density = 8.4 Mg/m³
Calculated volume = 360.2 Å³ per cell

a = 8.5400 Å, b = 6.9791 Å, c = 6.9791 Å
α = 120.00°, β = 90.00°, γ = 90.00°
Fractional coordinates of all 11 atoms:
Er (0.7862, 0.5011, 0.4989)
Er (0.7862, 0.9978, 0.4989)
Er (0.7862, 0.5011, 0.0022)
Tm (0.1166, 0.1674, 0.3348)
Tm (0.1166, 0.1674, 0.8326)
Tm (0.1172, 0.6667, 0.3333)
Tm (0.4473, 0.8322, 0.6643)
Tm (0.4473, 0.3357, 0.1678)
Tm (0.4473, 0.8322, 0.1678)
Tm (0.1166, 0.6652, 0.8326)
La (0.4477, 0.3333, 0.6667)



--- two ---
The following is a DFT calculation (PBE) of crystalline LaEr3Tm7 at its relaxed geometry.

Space group = No. 10
DOS(E_F) = 18.2 states/eV/f.u.
Theoretical density = 8.7 Mg/m³
Calculated volume = 349.1 Å³ per cell

a = 5.4827 Å, b = 9.7862 Å, c = 8.7844 Å
α = 104.42°, β = 128.61°, γ = 90.02°
Fractional coordinates of all 11 atoms:
Tm (0.5000, 0.0000, 0.5000)
Tm (0.0657, 0.1673, 0.0658)
Tm (0.6736, 0.3572, 0.1737)
Tm (0.3264, 0.6428, 0.8263)
Tm (0.8495, 0.7109, 0.3494)
Tm (0.1505, 0.2891, 0.6506)
Tm (0.9343, 0.8327, 0.9342)
La (0.5000, 0.5000, 0.5000)
Er (0.7260, 0.0080, 0.2258)
Er (0.0000, 0.5000, 0.0000)
Er (0.2740, 0.9920, 0.7742)



Relative energies with respect to the most stable structure, expressed in meV/atom: one 52; two 0.



--- one ---
The following is a DFT calculation (PBE) of crystalline La3Er7Tm at its relaxed geometry.

Space group = No. 2
DOS(E_F) = 17.7 states/eV/f.u.
Theoretical density = 8.0 Mg/m³
Calculated volume = 363.7 Å³ per cell

a = 6.7067 Å, b = 8.5874 Å, c = 6.5243 Å
α = 81.84°, β = 95.21°, γ = 80.00°
Fractional coordinates of all 11 atoms:
Er (0.7295, 0.5766, 0.9888)
Er (0.7752, 0.2116, 0.2863)
Er (0.2705, 0.4234, 0.0112)
Er (0.7072, 0.8516, 0.5636)
Er (0.0000, 0.5000, 0.5000)
Er (0.2248, 0.7884, 0.7137)
Er (0.2928, 0.1484, 0.4364)
La (0.9395, 0.1670, 0.8052)
La (0.5000, 0.0000, 0.0000)
La (0.0605, 0.8330, 0.1948)
Tm (0.5000, 0.5000, 0.5000)



--- two ---
The following is a DFT calculation (PBE) of crystalline La3Er7Tm at its relaxed geometry.

Space group = No. 156
DOS(E_F) = 17.4 states/eV/f.u.
Theoretical density = 7.8 Mg/m³
Calculated volume = 375.1 Å³ per cell

a = 8.7224 Å, b = 7.0468 Å, c = 7.0465 Å
α = 120.00°, β = 89.99°, γ = 90.00°
Fractional coordinates of all 11 atoms:
Er (0.1243, 0.6654, 0.8327)
Er (0.1244, 0.1674, 0.3348)
Er (0.1241, 0.6667, 0.3334)
Er (0.4423, 0.8327, 0.1674)
Er (0.4422, 0.8327, 0.6654)
Er (0.4423, 0.3347, 0.1674)
Er (0.1243, 0.1674, 0.8327)
Tm (0.4421, 0.3334, 0.6667)
La (0.7830, 0.4998, 0.9997)
La (0.7830, 0.0001, 0.4999)
La (0.7830, 0.4998, 0.4999)



Relative energies with respect to the most stable structure, expressed in meV/atom: one 0; two 51.



--- one ---
The following is a DFT calculation (PBE) of crystalline La8Er3Tm2 at its relaxed geometry.

Space group = No. 12
DOS(E_F) = 16.5 states/eV/f.u.
Theoretical density = 7.0 Mg/m³
Calculated volume = 460.8 Å³ per cell

a = 5.8153 Å, b = 7.7648 Å, c = 10.9193 Å
α = 110.83°, β = 90.02°, γ = 90.00°
Fractional coordinates of all 13 atoms:
La (0.5000, 0.5934, 0.7884)
La (0.9994, 0.1295, 0.2590)
La (0.9993, 0.3243, 0.6487)
La (0.0007, 0.6757, 0.3513)
La (0.0006, 0.8705, 0.7410)
La (0.5000, 0.4066, 0.2116)
La (0.5000, 0.1951, 0.7884)
La (0.5000, 0.8049, 0.2116)
Tm (0.4990, 0.2388, 0.4776)
Tm (0.5010, 0.7612, 0.5224)
Er (0.5000, 0.0000, 0.0000)
Er (0.0000, 0.7155, 0.0000)
Er (0.0000, 0.2845, 0.0000)



--- two ---
The following is a DFT calculation (PBE) of crystalline La8Er3Tm2 at its relaxed geometry.

Space group = No. 12
DOS(E_F) = 20.9 states/eV/f.u.
Theoretical density = 7.1 Mg/m³
Calculated volume = 453.8 Å³ per cell

a = 6.1268 Å, b = 11.7682 Å, c = 9.0040 Å
α = 130.81°, β = 73.11°, γ = 90.00°
Fractional coordinates of all 13 atoms:
Tm (0.6842, 0.6850, 0.3700)
Tm (0.3158, 0.3150, 0.6300)
La (0.6477, 0.0766, 0.6785)
La (0.1151, 0.8610, 0.7220)
La (0.6477, 0.6019, 0.6785)
La (0.2658, 0.5861, 0.1722)
La (0.7342, 0.4139, 0.8278)
La (0.8849, 0.1390, 0.2780)
La (0.3523, 0.3981, 0.3215)
La (0.3523, 0.9234, 0.3215)
Er (0.0000, 0.2743, 0.0000)
Er (0.5000, 0.0000, 0.0000)
Er (0.0000, 0.7257, 0.0000)



Relative energies with respect to the most stable structure, expressed in meV/atom: one 38; two 0.